CrPRuO2: optimized geometry, GGA+U.

```
5
Lattice="3.554 0.000 0.000 0.000 3.554 0.000 0.000 0.000 5.927" Properties=species:S:1:pos:R:3 pbc="T T T"
Cr 0.000 0.000 0.000
P 0.000 0.000 2.963
Ru 1.777 1.777 2.963
O 0.000 1.777 0.000
O 1.777 0.000 0.000
```

Computed properties:
Symmetry   P4/mmm (123)
M_tot   3.588 μB/f.u.
Electronic total energy   -6.5798 eV/atom
Calculated density   4.79 Mg/m³